Density functional theory data (PBE-GGA) for an optimized crystal structure of PmRe4Se8.

Properties
formation energy (no corrections)	-0.1468	eV/atom
density of states at the Fermi level	0.587	states/eV/atom

```
data_PmRe4Se8
_chemical_formula_sum 'Pm3 Re12 Se24'
_cell_length_a 7.4612
_cell_length_b 7.4612
_cell_length_c 19.1904
_cell_angle_alpha 90.00
_cell_angle_beta 90.00
_cell_angle_gamma 120.00
_space_group_name_H-M_alt 'R -3 m'
_space_group_IT_number 166
_space_group_name_Hall '-R 3 2"'
loop_
_atom_site_label
_atom_site_type_symbol
_atom_site_fract_x
_atom_site_fract_y
_atom_site_fract_z
_atom_site_occupancy
Pm1 Pm 0.0000 0.0000 0.0000 1
Re1 Re 0.0000 0.0000 0.5000 1
Re2 Re 0.0000 0.5000 0.5000 1
Se1 Se 0.0000 0.0000 0.2396 1
Se2 Se 0.0095 0.5048 0.2394 1
```

Density functional theory data (PBE-GGA) for an optimized crystal structure of CsSnPb3.

Properties
DFT formation energy	1247.2	meV per atom
density of states at the Fermi level	1.262	states/eV/atom

```
data_CsSnPb3
_chemical_formula_sum 'Cs1 Sn1 Pb3'
_cell_length_a 6.2589
_cell_length_b 6.2589
_cell_length_c 6.2589
_cell_angle_alpha 90.00
_cell_angle_beta 90.00
_cell_angle_gamma 90.00
_space_group_name_H-M_alt 'P m -3 m'
_space_group_IT_number 221
_space_group_name_Hall '-P 4 2 3'
loop_
_atom_site_label
_atom_site_type_symbol
_atom_site_fract_x
_atom_site_fract_y
_atom_site_fract_z
_atom_site_occupancy
Cs1 Cs 0.0000 0.0000 0.0000 1
Sn1 Sn 0.5000 0.5000 0.5000 1
Pb1 Pb 0.0000 0.0000 0.5000 1
```

Density functional theory data (PBE-GGA) for an optimized crystal structure of Ac2MgSn3Pd4.

Properties
DFT formation energy	-808.9	meV per atom
density of states at the Fermi level	0.496	states/eV/atom

```
data_Ac2MgSn3Pd4
_chemical_formula_sum 'Ac2 Mg1 Sn3 Pd4'
_cell_length_a 4.6633
_cell_length_b 4.6633
_cell_length_c 10.8913
_cell_angle_alpha 90.00
_cell_angle_beta 90.00
_cell_angle_gamma 90.00
_space_group_name_H-M_alt 'P -4 m 2'
_space_group_IT_number 115
_space_group_name_Hall 'P -4 -2'
loop_
_atom_site_label
_atom_site_type_symbol
_atom_site_fract_x
_atom_site_fract_y
_atom_site_fract_z
_atom_site_occupancy
Ac1 Ac 0.0000 0.5000 0.2424 1
Mg1 Mg 0.0000 0.0000 0.5000 1
Sn1 Sn 0.0000 0.5000 0.8738 1
Sn2 Sn 0.5000 0.5000 0.5000 1
Pd1 Pd 0.0000 0.0000 0.0000 1
Pd2 Pd 0.0000 0.5000 0.6291 1
Pd3 Pd 0.5000 0.5000 0.0000 1
```

Total energy (computed, eV per formula unit): -84.33, -9.75, -50.68
Magnetic moment (computed, μB/f.u.): 6.50, 0.00, 0.00